Entry 1:
The following is a DFT calculation (PBE) of LiVZn after structural relaxation.

```
data_LiVZn
_chemical_formula_sum 'Li2 V2 Zn2'
_cell_length_a 2.829
_cell_length_b 4.635
_cell_length_c 6.703
_cell_angle_alpha 90.00
_cell_angle_beta 101.78
_cell_angle_gamma 90.00
_symmetry_space_group_name_H-M 'P 1 m 1'
_symmetry_Int_Tables_number 6
_symmetry_space_group_name_Hall 'P -2y'
loop_
_atom_site_label
_atom_site_type_symbol
_atom_site_fract_x
_atom_site_fract_y
_atom_site_fract_z
_atom_site_occupancy
Li1 Li 0.000 0.000 0.000 1
Li2 Li 0.327 0.000 0.657 1
V1 V 0.146 0.500 0.293 1
V2 V 0.793 0.500 0.579 1
Zn1 Zn 0.467 0.500 0.930 1
Zn2 Zn 0.670 0.000 0.341 1
```

Calculated values
M_tot: 0.1 μB per cell
Formation energy: 0.091 eV per atom
Total energy: -4.0110 eV/atom
Density: 4.76 g/cm³
Crystal system: monoclinic

---

Entry 2:
The following is a DFT calculation (PBE) of Pr5DySb4 after structural relaxation.

```
data_Pr5DySb4
_chemical_formula_sum 'Pr10 Dy2 Sb8'
_cell_length_a 19.297
_cell_length_b 4.425
_cell_length_c 8.740
_cell_angle_alpha 90.00
_cell_angle_beta 104.93
_cell_angle_gamma 90.00
_symmetry_space_group_name_H-M 'C 1 2/m 1'
_symmetry_Int_Tables_number 12
_symmetry_space_group_name_Hall '-C 2y'
loop_
_atom_site_label
_atom_site_type_symbol
_atom_site_fract_x
_atom_site_fract_y
_atom_site_fract_z
_atom_site_occupancy
Pr1 Pr 0.000 0.000 0.000 1
Pr2 Pr 0.165 0.500 0.328 1
Pr3 Pr 0.173 0.500 0.847 1
Dy1 Dy 0.000 0.000 0.500 1
Sb1 Sb 0.005 0.500 0.747 1
Sb2 Sb 0.166 0.000 0.587 1
```

Calculated values
M_tot: 0.0 μB per cell
Total energy: -5.2940 eV/atom
Density: 6.24 g/cm³
Energy relative to the elements, uncorrected: -0.7951 eV/atom
Crystal system: monoclinic

---

Entry 3:
The following is a DFT calculation (PBE) of AgHg5 after structural relaxation.

```
data_AgHg5
_chemical_formula_sum 'Ag1 Hg5'
_cell_length_a 5.7726
_cell_length_b 5.7726
_cell_length_c 5.7867
_cell_angle_alpha 90.00
_cell_angle_beta 90.00
_cell_angle_gamma 120.00
_symmetry_space_group_name_H-M 'P 6/m m m'
_symmetry_Int_Tables_number 191
_symmetry_space_group_name_Hall '-P 6 2'
loop_
_atom_site_label
_atom_site_type_symbol
_atom_site_fract_x
_atom_site_fract_y
_atom_site_fract_z
_atom_site_occupancy
Ag1 Ag 0.0000 0.0000 0.0000 1
Hg1 Hg 0.0000 0.5000 0.5000 1
Hg2 Hg 0.3333 0.6667 0.0000 1
```

Calculated values
M_tot: 0.0 μB per cell
Formation energy: 0.239 eV per atom
Total energy: -0.4874 eV/atom
Density: 11.05 g/cm³
Crystal system: hexagonal

---

Entry 4:
The following is a DFT calculation (PBE) of AcPm6Dy3Tm2 after structural relaxation.

```
data_AcPm6Dy3Tm2
_chemical_formula_sum 'Ac2 Pm12 Dy6 Tm4'
_cell_length_a 6.280
_cell_length_b 10.876
_cell_length_c 12.000
_cell_angle_alpha 90.00
_cell_angle_beta 100.07
_cell_angle_gamma 90.00
_symmetry_space_group_name_H-M 'C 1 2/m 1'
_symmetry_Int_Tables_number 12
_symmetry_space_group_name_Hall '-C 2y'
loop_
_atom_site_label
_atom_site_type_symbol
_atom_site_fract_x
_atom_site_fract_y
_atom_site_fract_z
_atom_site_occupancy
Ac1 Ac 0.000 0.000 0.000 1
Pm1 Pm 0.247 0.332 0.746 1
Pm2 Pm 0.248 0.500 0.254 1
Dy1 Dy 0.000 0.167 0.500 1
Dy2 Dy 0.000 0.500 0.500 1
Tm1 Tm 0.000 0.333 0.000 1
```

Calculated values
M_tot: 0.0 μB per cell
Formation energy: 0.029 eV per atom
Total energy: -4.5844 eV/atom
Density: 7.91 g/cm³
Crystal system: monoclinic

---

Entry 5:
The following is a DFT calculation (PBE) of Pm2NdO4 after structural relaxation.

```
data_Pm2NdO4
_chemical_formula_sum 'Pm8 Nd4 O16'
_cell_length_a 7.602
_cell_length_b 7.602
_cell_length_c 7.023
_cell_angle_alpha 90.00
_cell_angle_beta 90.00
_cell_angle_gamma 90.00
_symmetry_space_group_name_H-M 'I -4 2 d'
_symmetry_Int_Tables_number 122
_symmetry_space_group_name_Hall 'I -4 2bw'
loop_
_atom_site_label
_atom_site_type_symbol
_atom_site_fract_x
_atom_site_fract_y
_atom_site_fract_z
_atom_site_occupancy
Pm1 Pm 0.156 0.750 0.125 1
Nd1 Nd 0.000 0.000 0.500 1
O1 O 0.065 0.678 0.442 1
```

Calculated values
M_tot: 0.0 μB per cell
Total energy: -7.9050 eV/atom
Density: 8.15 g/cm³
Energy relative to the elements, uncorrected: -3.0333 eV/atom
Crystal system: tetragonal

---

Entry 6:
The following is a DFT calculation (PBE) of Ba3ZnBi3 after structural relaxation.

```
data_Ba3ZnBi3
_chemical_formula_sum 'Ba24 Zn8 Bi24'
_cell_length_a 21.700
_cell_length_b 7.323
_cell_length_c 14.527
_cell_angle_alpha 90.00
_cell_angle_beta 90.00
_cell_angle_gamma 90.00
_symmetry_space_group_name_H-M 'C m c e'
_symmetry_Int_Tables_number 64
_symmetry_space_group_name_Hall '-C 2ac 2'
loop_
_atom_site_label
_atom_site_type_symbol
_atom_site_fract_x
_atom_site_fract_y
_atom_site_fract_z
_atom_site_occupancy
Ba1 Ba 0.000 0.207 0.142 1
Ba2 Ba 0.171 0.210 0.871 1
Zn1 Zn 0.085 0.000 0.500 1
Bi1 Bi 0.000 0.214 0.393 1
Bi2 Bi 0.162 0.210 0.619 1
```

Calculated values
M_tot: 0.0 μB per cell
Formation energy: -0.744 eV per atom
Total energy: -3.4129 eV/atom
Density: 6.35 g/cm³
Crystal system: orthorhombic

---

Entry 7:
The following is a DFT calculation (PBE) of LiTlCdI4 after structural relaxation.

```
data_LiTlCdI4
_chemical_formula_sum 'Li2 Tl2 Cd2 I8'
_cell_length_a 7.157
_cell_length_b 8.909
_cell_length_c 9.450
_cell_angle_alpha 90.00
_cell_angle_beta 100.64
_cell_angle_gamma 90.00
_symmetry_space_group_name_H-M 'P 1 21/m 1'
_symmetry_Int_Tables_number 11
_symmetry_space_group_name_Hall '-P 2yb'
loop_
_atom_site_label
_atom_site_type_symbol
_atom_site_fract_x
_atom_site_fract_y
_atom_site_fract_z
_atom_site_occupancy
Li1 Li 0.198 0.250 0.313 1
Tl1 Tl 0.345 0.250 0.950 1
Cd1 Cd 0.279 0.750 0.678 1
I1 I 0.025 0.250 0.552 1
I2 I 0.100 0.750 0.926 1
I3 I 0.448 0.015 0.266 1
```

Calculated values
M_tot: 0.0 μB per cell
Total energy: -2.3847 eV/atom
Density: 4.66 g/cm³
Energy relative to the elements, uncorrected: -0.7568 eV/atom
Crystal system: monoclinic

---

Entry 8:
The following is a DFT calculation (PBE) of La2TmSn3Pd4 after structural relaxation.

```
data_La2TmSn3Pd4
_chemical_formula_sum 'La2 Tm1 Sn3 Pd4'
_cell_length_a 4.639
_cell_length_b 4.639
_cell_length_c 11.007
_cell_angle_alpha 90.00
_cell_angle_beta 90.00
_cell_angle_gamma 90.00
_symmetry_space_group_name_H-M 'P -4 m 2'
_symmetry_Int_Tables_number 115
_symmetry_space_group_name_Hall 'P -4 -2'
loop_
_atom_site_label
_atom_site_type_symbol
_atom_site_fract_x
_atom_site_fract_y
_atom_site_fract_z
_atom_site_occupancy
La1 La 0.000 0.500 0.227 1
Tm1 Tm 0.000 0.000 0.500 1
Sn1 Sn 0.000 0.500 0.876 1
Sn2 Sn 0.500 0.500 0.500 1
Pd1 Pd 0.000 0.000 0.000 1
Pd2 Pd 0.000 0.500 0.639 1
Pd3 Pd 0.500 0.500 0.000 1
```

Calculated values
M_tot: 0.0 μB per cell
Formation energy: -0.855 eV per atom
Total energy: -5.5654 eV/atom
Density: 8.61 g/cm³
Crystal system: tetragonal

---

Entry 9:
The following is a DFT calculation (PBE) of SnIrRh2C after structural relaxation.

```
data_SnIrRh2C
_chemical_formula_sum 'Sn1 Ir1 Rh2 C1'
_cell_length_a 3.965
_cell_length_b 3.965
_cell_length_c 4.766
_cell_angle_alpha 90.00
_cell_angle_beta 90.00
_cell_angle_gamma 90.00
_symmetry_space_group_name_H-M 'P 4/m m m'
_symmetry_Int_Tables_number 123
_symmetry_space_group_name_Hall '-P 4 2'
loop_
_atom_site_label
_atom_site_type_symbol
_atom_site_fract_x
_atom_site_fract_y
_atom_site_fract_z
_atom_site_occupancy
Sn1 Sn 0.000 0.000 0.000 1
Ir1 Ir 0.500 0.500 0.000 1
Rh1 Rh 0.000 0.500 0.500 1
C1 C 0.000 0.000 0.500 1
```

Calculated values
M_tot: 0.0 μB per cell
Formation energy: 0.494 eV per atom
Total energy: -6.8643 eV/atom
Density: 11.72 g/cm³
Crystal system: tetragonal

---

Entry 10:
The following is a DFT calculation (PBE) of PuMgZn4 after structural relaxation.

```
data_PuMgZn4
_chemical_formula_sum 'Pu1 Mg1 Zn4'
_cell_length_a 2.941
_cell_length_b 4.500
_cell_length_c 8.259
_cell_angle_alpha 90.00
_cell_angle_beta 90.00
_cell_angle_gamma 90.00
_symmetry_space_group_name_H-M 'P m m m'
_symmetry_Int_Tables_number 47
_symmetry_space_group_name_Hall '-P 2 2'
loop_
_atom_site_label
_atom_site_type_symbol
_atom_site_fract_x
_atom_site_fract_y
_atom_site_fract_z
_atom_site_occupancy
Pu1 Pu 0.000 0.000 0.000 1
Mg1 Mg 0.000 0.500 0.500 1
Zn1 Zn 0.500 0.000 0.343 1
Zn2 Zn 0.500 0.500 0.181 1
```

Calculated values
M_tot: 5.5 μB per cell
Formation energy: -0.128 eV per atom
Total energy: -3.6316 eV/atom
Density: 8.05 g/cm³
Crystal system: orthorhombic

---

Entry 11:
The following is a DFT calculation (PBE) of AlSb2Br after structural relaxation.

```
data_AlSb2Br
_chemical_formula_sum 'Al3 Sb6 Br3'
_cell_length_a 3.5072
_cell_length_b 3.5072
_cell_length_c 28.2109
_cell_angle_alpha 90.00
_cell_angle_beta 90.00
_cell_angle_gamma 120.00
_symmetry_space_group_name_H-M 'R -3 m'
_symmetry_Int_Tables_number 166
_symmetry_space_group_name_Hall '-R 3 2"'
loop_
_atom_site_label
_atom_site_type_symbol
_atom_site_fract_x
_atom_site_fract_y
_atom_site_fract_z
_atom_site_occupancy
Al1 Al 0.0000 0.0000 0.0000 1
Sb1 Sb 0.0000 0.0000 0.2564 1
Br1 Br 0.0000 0.0000 0.5000 1
```

Calculated values
M_tot: 0.0 μB per cell
Total energy: -3.2889 eV/atom
Density: 5.81 g/cm³
Energy relative to the elements, uncorrected: 0.1262 eV/atom
Crystal system: trigonal

---

Entry 12:
The following is a DFT calculation (PBE) of YZn2Si2 after structural relaxation.

```
data_YZn2Si2
_chemical_formula_sum 'Y2 Zn4 Si4'
_cell_length_a 7.368
_cell_length_b 7.368
_cell_length_c 3.343
_cell_angle_alpha 90.00
_cell_angle_beta 90.00
_cell_angle_gamma 90.00
_symmetry_space_group_name_H-M 'P 4/m b m'
_symmetry_Int_Tables_number 127
_symmetry_space_group_name_Hall '-P 4 2ab'
loop_
_atom_site_label
_atom_site_type_symbol
_atom_site_fract_x
_atom_site_fract_y
_atom_site_fract_z
_atom_site_occupancy
Y1 Y 0.000 0.000 0.000 1
Zn1 Zn 0.164 0.336 0.500 1
Si1 Si 0.124 0.624 0.000 1
```

Calculated values
M_tot: 0.0 μB per cell
Total energy: -4.0152 eV/atom
Density: 5.05 g/cm³
Energy relative to the elements, uncorrected: -0.0436 eV/atom
Crystal system: tetragonal

---

Which value of density does entry 10 give?
8.05 g/cm³